# ZrPbAu2 | Alexandria via LeMat-Bulk | GGA-PBE | relaxed
data_ZrPbAu2
_cell_length_a 3.2998
_cell_length_b 3.3870
_cell_length_c 7.9516
_cell_angle_alpha 90.00
_cell_angle_beta 90.00
_cell_angle_gamma 90.00
_symmetry_space_group_name_H-M 'P m m m'
_symmetry_Int_Tables_number 47
loop_
_symmetry_equiv_pos_as_xyz
'x,y,z'
'-x,-y,-z'
'-x,-y,z'
'x,y,-z'
'x,-y,-z'
'-x,y,z'
'-x,y,-z'
'x,-y,z'
loop_
_atom_site_label
_atom_site_fract_x
_atom_site_fract_y
_atom_site_fract_z
Zr1 0.0000 0.0000 0.0000
Pb1 0.0000 0.0000 0.5000
Au1 0.5000 0.5000 0.2197
# raw total energy = -5.020 eV/atom
# magnetic moment = 0.000 Bohr magnetons per cell
# crystal system = orthorhombic
# formation energy = -31 kJ/mol of atoms

# Ba2FeSi | Alexandria via LeMat-Bulk | GGA-PBE | relaxed
data_Ba2FeSi
_cell_length_a 4.2963
_cell_length_b 4.2963
_cell_length_c 27.2102
_cell_angle_alpha 90.00
_cell_angle_beta 90.00
_cell_angle_gamma 120.00
_symmetry_space_group_name_H-M 'R -3 m'
_symmetry_Int_Tables_number 166
_symmetry_space_group_name_Hall '-R 3 2"'
loop_
_atom_site_label
_atom_site_fract_x
_atom_site_fract_y
_atom_site_fract_z
Ba1 0.0000 0.0000 0.2482
Fe1 0.0000 0.0000 0.0000
Si1 0.0000 0.0000 0.5000
# raw total energy = -3.793 eV/atom
# magnetic moment = 7.999 Bohr magnetons per cell
# uncorrected formation energy = 2.56 eV per formula unit
# crystal system = trigonal

# Hf3VSb | Alexandria via LeMat-Bulk | GGA-PBE | relaxed
data_Hf3VSb
_cell_length_a 3.3244
_cell_length_b 7.9198
_cell_length_c 8.2218
_cell_angle_alpha 84.45
_cell_angle_beta 89.97
_cell_angle_gamma 77.96
_symmetry_space_group_name_H-M 'P -1'
_symmetry_Int_Tables_number 2
loop_
_symmetry_equiv_pos_as_xyz
'x,y,z'
'-x,-y,-z'
loop_
_atom_site_label
_atom_site_fract_x
_atom_site_fract_y
_atom_site_fract_z
Hf1 0.0497 0.3991 0.2253
Hf2 0.2490 0.0016 0.8047
Hf3 0.4075 0.6833 0.4372
V1 0.2047 0.0916 0.4341
Sb1 0.3958 0.7086 0.0664
# raw total energy = -8.732 eV/atom
# magnetic moment = 0.000 Bohr magnetons per cell
# uncorrected formation energy = -0.56 eV per formula unit
# crystal system = triclinic
# offset from the most stable computed form = 0.000 eV per atom

# SiGeOs2 | Alexandria via LeMat-Bulk | GGA-PBE | relaxed
data_SiGeOs2
_cell_length_a 5.4707
_cell_length_b 5.4707
_cell_length_c 10.8654
_cell_angle_alpha 90.00
_cell_angle_beta 90.00
_cell_angle_gamma 90.00
_symmetry_space_group_name_H-M 'I -4 2 d'
_symmetry_Int_Tables_number 122
_symmetry_space_group_name_Hall 'I -4 2bw'
loop_
_atom_site_label
_atom_site_fract_x
_atom_site_fract_y
_atom_site_fract_z
Si1 0.0000 0.0000 0.0000
Ge1 0.0000 0.0000 0.5000
Os1 0.2364 0.2500 0.1250
# raw total energy = -7.314 eV/atom
# magnetic moment = 0.000 Bohr magnetons per cell
# uncorrected formation energy = 3.25 eV per formula unit
# crystal system = tetragonal
# offset from the most stable computed form = 0.894 eV per atom

# ZrSi2GeF | Alexandria via LeMat-Bulk | GGA-PBE | relaxed
data_ZrSi2GeF
_cell_length_a 4.8285
_cell_length_b 4.8285
_cell_length_c 3.9835
_cell_angle_alpha 90.00
_cell_angle_beta 90.00
_cell_angle_gamma 90.00
_symmetry_space_group_name_H-M 'P 4/m m m'
_symmetry_Int_Tables_number 123
_symmetry_space_group_name_Hall '-P 4 2'
loop_
_atom_site_label
_atom_site_fract_x
_atom_site_fract_y
_atom_site_fract_z
Zr1 0.0000 0.0000 0.0000
Si1 0.0000 0.5000 0.5000
Ge1 0.5000 0.5000 0.5000
F1 0.5000 0.5000 0.0000
# raw total energy = -5.227 eV/atom
# magnetic moment = 0.000 Bohr magnetons per cell
# uncorrected formation energy = -0.25 eV per formula unit
# crystal system = tetragonal

# Pm2Er3Os2 | Alexandria via LeMat-Bulk | GGA-PBE | relaxed
data_Pm2Er3Os2
_cell_length_a 11.9757
_cell_length_b 3.9581
_cell_length_c 8.5053
_cell_angle_alpha 90.00
_cell_angle_beta 114.20
_cell_angle_gamma 90.00
_symmetry_space_group_name_H-M 'C 1 2/m 1'
_symmetry_Int_Tables_number 12
loop_
_symmetry_equiv_pos_as_xyz
'x,y,z'
'-x,-y,-z'
'-x,y,-z'
'x,-y,z'
'x+1/2,y+1/2,z'
'-x+1/2,-y+1/2,-z'
'-x+1/2,y+1/2,-z'
'x+1/2,-y+1/2,z'
loop_
_atom_site_label
_atom_site_fract_x
_atom_site_fract_y
_atom_site_fract_z
Pm1 0.1617 0.0000 0.3044
Er1 0.0000 0.5000 0.5000
Er2 0.1262 0.5000 0.9271
Os1 0.1746 0.0000 0.7210
# raw total energy = -6.742 eV/atom
# magnetic moment = 0.000 Bohr magnetons per cell
# crystal system = monoclinic
# formation energy = -21 kJ/mol of atoms

# Re2RuAu | Alexandria via LeMat-Bulk | GGA-PBE | relaxed
data_Re2RuAu
_cell_length_a 3.2380
_cell_length_b 3.2380
_cell_length_c 5.9973
_cell_angle_alpha 90.00
_cell_angle_beta 90.00
_cell_angle_gamma 90.00
_symmetry_space_group_name_H-M 'P 4 m m'
_symmetry_Int_Tables_number 99
loop_
_symmetry_equiv_pos_as_xyz
'x,y,z'
'-y,x,z'
'-x,-y,z'
'y,-x,z'
'-x,y,z'
'y,x,z'
'x,-y,z'
'-y,-x,z'
loop_
_atom_site_label
_atom_site_fract_x
_atom_site_fract_y
_atom_site_fract_z
Re1 0.0000 0.0000 0.0000
Re2 0.5000 0.5000 0.2130
Ru1 0.0000 0.0000 0.4545
Au1 0.5000 0.5000 0.7214
# raw total energy = -8.874 eV/atom
# magnetic moment = 0.015 Bohr magnetons per cell
# crystal system = tetragonal
# offset from the most stable computed form = 0.275 eV per atom
# formation energy = 47 kJ/mol of atoms

# YRu2F | Alexandria via LeMat-Bulk | GGA-PBE | relaxed
data_YRu2F
_cell_length_a 6.4192
_cell_length_b 6.4192
_cell_length_c 6.4192
_cell_angle_alpha 90.00
_cell_angle_beta 90.00
_cell_angle_gamma 90.00
_symmetry_space_group_name_H-M 'F m -3 m'
_symmetry_Int_Tables_number 225
_symmetry_space_group_name_Hall '-F 4 2 3'
loop_
_atom_site_label
_atom_site_fract_x
_atom_site_fract_y
_atom_site_fract_z
Y1 0.0000 0.0000 0.0000
Ru1 0.2500 0.2500 0.2500
F1 0.0000 0.0000 0.5000
# raw total energy = -6.343 eV/atom
# magnetic moment = 6.650 Bohr magnetons per cell
# uncorrected formation energy = 1.51 eV per formula unit
# crystal system = cubic
# offset from the most stable computed form = 1.110 eV per atom

# TmScAgPt | Alexandria via LeMat-Bulk | GGA-PBE | relaxed
data_TmScAgPt
_cell_length_a 6.8646
_cell_length_b 6.8646
_cell_length_c 6.8646
_cell_angle_alpha 90.00
_cell_angle_beta 90.00
_cell_angle_gamma 90.00
_symmetry_space_group_name_H-M 'F -4 3 m'
_symmetry_Int_Tables_number 216
_symmetry_space_group_name_Hall 'F -4 2 3'
loop_
_atom_site_label
_atom_site_fract_x
_atom_site_fract_y
_atom_site_fract_z
Tm1 0.0000 0.0000 0.0000
Sc1 0.0000 0.0000 0.5000
Ag1 0.2500 0.2500 0.2500
Pt1 0.2500 0.2500 0.7500
# raw total energy = -5.714 eV/atom
# magnetic moment = 0.000 Bohr magnetons per cell
# crystal system = cubic
# formation energy = -76 kJ/mol of atoms

# Na3TlPd2 | Alexandria via LeMat-Bulk | GGA-PBE | relaxed
data_Na3TlPd2
_cell_length_a 17.0663
_cell_length_b 3.1034
_cell_length_c 12.5823
_cell_angle_alpha 90.00
_cell_angle_beta 121.40
_cell_angle_gamma 90.00
_symmetry_space_group_name_H-M 'C 1 2/m 1'
_symmetry_Int_Tables_number 12
loop_
_symmetry_equiv_pos_as_xyz
'x,y,z'
'-x,-y,-z'
'-x,y,-z'
'x,-y,z'
'x+1/2,y+1/2,z'
'-x+1/2,-y+1/2,-z'
'-x+1/2,y+1/2,-z'
'x+1/2,-y+1/2,z'
loop_
_atom_site_label
_atom_site_fract_x
_atom_site_fract_y
_atom_site_fract_z
Na1 0.0179 0.0000 0.2174
Na2 0.1341 0.5000 0.0583
Na3 0.2393 0.5000 0.3780
Tl1 0.1008 0.5000 0.6737
Pd1 0.0937 0.5000 0.4493
Pd2 0.1861 0.0000 0.8972
# raw total energy = -2.838 eV/atom
# magnetic moment = 0.000 Bohr magnetons per cell
# crystal system = monoclinic
# offset from the most stable computed form = 0.058 eV per atom
# formation energy = -5 kJ/mol of atoms

# Fe2TcMoH | Alexandria via LeMat-Bulk | GGA-PBE | relaxed
data_Fe2TcMoH
_cell_length_a 3.7105
_cell_length_b 3.7105
_cell_length_c 3.8609
_cell_angle_alpha 90.00
_cell_angle_beta 90.00
_cell_angle_gamma 90.00
_symmetry_space_group_name_H-M 'P 4/m m m'
_symmetry_Int_Tables_number 123
_symmetry_space_group_name_Hall '-P 4 2'
loop_
_atom_site_label
_atom_site_fract_x
_atom_site_fract_y
_atom_site_fract_z
Fe1 0.0000 0.5000 0.0000
Tc1 0.0000 0.0000 0.5000
Mo1 0.5000 0.5000 0.5000
H1 0.5000 0.5000 0.0000
# raw total energy = -8.209 eV/atom
# magnetic moment = 0.604 Bohr magnetons per cell
# crystal system = tetragonal
# offset from the most stable computed form = 0.017 eV per atom

- Which value of magnetic moment does entry 6 give?
  0.000 Bohr magnetons per cell